Model i:
Computed, not measured: a relaxed MnTe2CN crystal at the PBE-GGA level of DFT.

## Properties
Its space group is P4/mmm (123).

Geometry as POSCAR:
```
MnTe2CN
1.0
6.220 0.000 0.000
0.000 6.220 0.000
0.000 0.000 2.631
C Te Mn N
1 2 1 1
Cartesian
0.000 0.000 0.000 C
0.000 3.110 0.000 Te
3.110 0.000 0.000 Te
3.110 3.110 1.315 Mn
0.000 0.000 1.315 N
```

=====

Model ii:
Computed, not measured: a relaxed MnTe2CN crystal at the PBE-GGA level of DFT.

## Properties
Its space group is P4/mmm (123).

Geometry as POSCAR:
```
MnTe2CN
1.0
5.057 0.000 0.000
0.000 5.057 0.000
0.000 0.000 3.415
C Te Mn N
1 2 1 1
Cartesian
2.528 2.528 1.708 C
0.000 2.528 0.000 Te
2.528 0.000 0.000 Te
0.000 0.000 0.000 Mn
0.000 0.000 1.708 N
```

=====

The computed energies, referenced to the most stable structure and given in meV/atom, are model i 0; model ii 339.

=====

Model i:
Computed, not measured: a relaxed NaMn3C crystal at the PBE-GGA level of DFT.

## Properties
Its space group is Pm-3m (221).

Geometry as POSCAR:
```
NaMn3C
1.0
-3.692 1.556 -0.100
-1.506 -3.494 1.257
0.401 1.196 3.804
Na C Mn
1 1 3
Cartesian
-2.399 -0.372 2.481 Na
0.000 0.000 0.000 C
-0.753 -1.747 0.629 Mn
0.201 0.598 1.902 Mn
-1.846 0.778 -0.050 Mn
```

=====

Model ii:
Computed, not measured: a relaxed NaMn3C crystal at the PBE-GGA level of DFT.

## Properties
Its space group is Pm-3m (221).

Geometry as POSCAR:
```
NaMn3C
1.0
-1.865 -0.103 4.322
3.295 -3.081 1.348
2.799 3.559 1.292
Na C Mn
1 1 3
Cartesian
0.000 0.000 0.000 Na
2.115 0.187 3.482 C
1.648 -1.541 0.674 Mn
1.400 1.779 0.646 Mn
-0.932 -0.051 2.161 Mn
```

=====

The computed energies, referenced to the most stable structure and given in meV/atom, are model i 0; model ii 2401.